The following is a PBE calculation of a relaxed structure of KBaBi, from the Alexandria database.

```
6
Lattice="6.178 0.000 0.000 0.000 7.610 0.000 -3.091 0.000 5.355" Properties=species:S:1:pos:R:3 pbc="T T T"
K 2.773 3.359 3.957
K 2.768 7.163 3.959
Ba -0.319 5.259 2.171
Ba 2.773 1.455 0.389
Bi 2.770 5.260 0.384
Bi -0.316 1.454 2.175
```

Summary:
energy	-3.02	eV/atom
SG	No. 194
DOS(E_F)	0.02	states/eV per atom

---

The following is a PBE calculation of a relaxed structure of NdTmCo2, from the Alexandria database.

```
4
Lattice="-1.409 -0.521 4.534 2.442 -2.859 2.946 2.600 1.878 3.540" Properties=species:S:1:pos:R:3 pbc="T T T"
Co 0.908 -0.375 2.755
Co 2.724 -1.126 8.265
Tm 1.816 -0.751 5.510
Nd 0.000 0.000 0.000
```

Summary:
energy	-5.93	eV/atom
SG	No. 225
energy above the most stable polymorph in this dataset	0.083	eV/atom
DOS(E_F)	0.29	states/eV per atom

---

The following is a PBE calculation of a relaxed structure of Nd4Ni2Pt, from the Alexandria database.

```
14
Lattice="7.774 -1.066 -0.158 -1.625 7.675 0.156 -2.961 -3.412 6.420" Properties=species:S:1:pos:R:3 pbc="T T T"
Nd 5.898 -0.236 1.886
Nd 1.126 2.950 1.249
Nd 4.151 1.387 4.375
Nd 3.776 -2.596 4.319
Nd 1.952 -0.899 1.942
Nd -0.098 -2.076 5.168
Nd 0.279 1.905 5.233
Nd 5.069 3.615 1.185
Ni 2.028 -0.346 4.773
Ni 2.698 5.196 1.644
Ni 3.513 1.356 1.560
Ni -1.861 0.189 4.858
Pt -0.758 3.781 3.287
Pt 0.003 0.003 0.000
```

Summary:
energy	-5.64	eV/atom
SG	No. 24
DOS(E_F)	0.90	states/eV per atom

---

The following is a PBE calculation of a relaxed structure of ReHgAu3, from the Alexandria database.

```
5
Lattice="5.170 0.000 0.000 0.000 5.170 0.000 0.000 0.000 5.170" Properties=species:S:1:pos:R:3 pbc="T T T"
Re 2.585 2.585 2.585
Au 0.000 2.585 0.000
Au 0.000 0.000 2.585
Au 2.585 0.000 0.000
Hg 0.000 0.000 0.000
```

Summary:
energy	-2.78	eV/atom
SG	No. 221
energy above the most stable polymorph in this dataset	0.571	eV/atom
DOS(E_F)	0.53	states/eV per atom

---

The following is a PBE calculation of a relaxed structure of BaDyZnIn, from the Alexandria database.

```
4
Lattice="5.581 0.000 0.000 2.790 4.833 0.000 2.790 1.611 4.557" Properties=species:S:1:pos:R:3 pbc="T T T"
Zn 0.000 0.000 0.000
In 5.581 3.222 2.278
Ba 2.790 1.611 1.139
Dy 8.371 4.833 3.417
```

Summary:
energy	-2.82	eV/atom
SG	No. 216
DOS(E_F)	0.88	states/eV per atom

---

The following is a PBE calculation of a relaxed structure of CaNb, from the Alexandria database.

```
8
Lattice="7.311 0.000 0.000 0.000 7.311 0.000 0.000 0.000 7.311" Properties=species:S:1:pos:R:3 pbc="T T T"
Ca 1.828 1.828 1.828
Ca 1.828 5.483 5.483
Ca 5.483 1.828 5.483
Ca 5.483 5.483 1.828
Nb 0.000 0.000 0.000
Nb 0.000 3.655 3.655
Nb 3.655 0.000 3.655
Nb 3.655 3.655 0.000
```

Summary:
energy	-3.51	eV/atom
SG	No. 216
energy above the most stable polymorph in this dataset	2.250	eV/atom
DOS(E_F)	0.40	states/eV per atom

---

Question: DOS(E_F) of number 4 (ReHgAu3)?
Answer: 0.53 states/eV per atom